[1]
# Sr2CoRhN

A relaxed Sr2CoRhN crystal (PBE-GGA, Alexandria via LeMat-Bulk).

POSCAR file:
```
Sr2CoRhN
1.0
5.3793 0.0000 0.0000
0.0000 5.3793 0.0000
0.0000 0.0000 3.4917
Sr N Rh Co
2 1 1 1
Direct
0.0000 0.5000 0.0000 Sr
0.5000 0.0000 0.0000 Sr
0.0000 0.0000 0.0000 N
0.5000 0.5000 0.5000 Rh
0.0000 0.0000 0.5000 Co
```

## Properties
Formation energy (no corrections) (kJ/mol of atoms): -23.95
Final energy (Ry/atom): -0.403

***

[2]
# Ac5Ga2Hg

A relaxed Ac5Ga2Hg crystal (PBE-GGA, Alexandria via LeMat-Bulk).

POSCAR file:
```
Ac5Ga2Hg
1.0
7.4174 0.0000 -3.5014
-1.6528 7.2309 -3.5014
0.2559 0.3210 10.1493
Ac Ga Hg
10 4 2
Direct
0.5284 0.6816 0.7100 Ac
0.8184 0.9716 0.2900 Ac
0.0000 0.0000 0.0000 Ac
0.5000 0.5000 0.0000 Ac
0.1816 0.0284 0.7100 Ac
0.6816 0.1816 0.7100 Ac
0.0284 0.5284 0.7100 Ac
0.3184 0.8184 0.2900 Ac
0.9716 0.4716 0.2900 Ac
0.4716 0.3184 0.2900 Ac
0.1134 0.3866 0.0000 Ga
0.6134 0.1134 0.0000 Ga
0.3866 0.8866 0.0000 Ga
0.8866 0.6134 0.0000 Ga
0.7500 0.7500 0.5000 Hg
0.2500 0.2500 0.5000 Hg
```

## Properties
Final energy (Ry/atom): -0.275
Formation energy from the elements (meV/atom): -379

***

[3]
# Rb2NpMnSe4

A relaxed Rb2NpMnSe4 crystal (PBE-GGA, Alexandria via LeMat-Bulk).

POSCAR file:
```
Rb2NpMnSe4
1.0
8.7619 -0.0435 -0.0966
-0.0497 8.7619 -0.0966
-4.3150 -4.3180 6.2592
Rb Np Mn Se
4 2 2 8
Direct
0.5000 0.0000 0.0000 Rb
0.5000 0.0000 0.5000 Rb
0.0000 0.0000 0.5000 Rb
0.5000 0.5000 0.0000 Rb
0.0000 0.5000 0.0000 Np
0.0000 0.5000 0.5000 Np
0.5000 0.5000 0.5000 Mn
0.0000 0.0000 0.0000 Mn
0.1962 0.7290 0.9626 Se
0.7710 0.3038 0.5374 Se
0.2290 0.6962 0.4626 Se
0.8038 0.2710 0.0374 Se
0.7704 0.7295 0.9494 Se
0.7705 0.7296 0.5506 Se
0.2295 0.2704 0.4494 Se
0.2296 0.2705 0.0506 Se
```

## Properties
Formation energy (no corrections) (kJ/mol of atoms): -89.73
Final energy (Ry/atom): -0.417

***

[4]
# BiRh2Pb2

A relaxed BiRh2Pb2 crystal (PBE-GGA, Alexandria via LeMat-Bulk).

POSCAR file:
```
BiRh2Pb2
1.0
-2.0435 0.3729 -7.7770
7.6272 -1.5197 -2.0770
-0.6505 -3.2833 0.0135
Pb Rh Bi
4 4 2
Direct
0.1505 0.6505 0.5000 Pb
0.6505 0.8495 0.5000 Pb
0.8495 0.3495 0.5000 Pb
0.3495 0.1505 0.5000 Pb
0.3548 0.8548 0.0000 Rh
0.8548 0.6452 0.0000 Rh
0.6452 0.1452 0.0000 Rh
0.1452 0.3548 0.0000 Rh
0.0000 0.0000 0.0000 Bi
0.5000 0.5000 0.0000 Bi
```

## Properties
Final energy (Ry/atom): -0.380
Formation energy from the elements (meV/atom): 29

***

[5]
# Ti2Mn3Cr

A relaxed Ti2Mn3Cr crystal (PBE-GGA, Alexandria via LeMat-Bulk).

POSCAR file:
```
Ti2Mn3Cr
1.0
1.0066 -3.9377 -2.6314
3.0919 1.4821 3.4186
-3.5016 -0.0499 3.1823
Ti Mn Cr
2 3 1
Direct
0.7497 0.3750 0.1246 Ti
0.2503 0.6250 0.8754 Ti
0.5000 0.5000 0.5000 Mn
0.0000 0.0000 0.5000 Mn
0.5000 0.0000 0.5000 Mn
0.0000 0.0000 0.0000 Cr
```

## Properties
Final energy (Ry/atom): -0.665
Formation energy from the elements (meV/atom): -231

***

[6]
# CeAl3Ag

A relaxed CeAl3Ag crystal (PBE-GGA, Alexandria via LeMat-Bulk).

POSCAR file:
```
CeAl3Ag
1.0
5.7827 0.0002 -0.0002
-0.0001 6.4143 0.0002
0.0002 -3.2073 5.5543
Ce Al Ag
2 6 2
Direct
0.7499 0.6667 0.3334 Ce
0.2501 0.3333 0.6666 Ce
0.7500 0.6043 0.8022 Al
0.2500 0.8021 0.6043 Al
0.2500 0.3957 0.1978 Al
0.7500 0.1979 0.3958 Al
0.2499 0.8021 0.1978 Al
0.7500 0.1979 0.8022 Al
0.0000 0.0000 0.0000 Ag
0.5000 0.0000 0.0000 Ag
```

## Properties
Final energy (Ry/atom): -0.311
Formation energy from the elements (meV/atom): -226

***

[7]
# YTeOs2

A relaxed YTeOs2 crystal (PBE-GGA, Alexandria via LeMat-Bulk).

POSCAR file:
```
YTeOs2
1.0
4.5300 0.0000 0.0000
0.0000 4.5300 0.0000
0.0000 0.0000 3.6116
Os Te Y
2 1 1
Direct
0.0000 0.0000 0.0000 Os
0.5000 0.5000 0.0000 Os
0.5000 0.0000 0.5000 Te
0.0000 0.5000 0.5000 Y
```

## Properties
Formation energy (no corrections) (kJ/mol of atoms): 28.54
Final energy (Ry/atom): -0.567

***

[8]
# AcTa2TiO8

A relaxed AcTa2TiO8 crystal (PBE-GGA, Alexandria via LeMat-Bulk).

POSCAR file:
```
AcTa2TiO8
1.0
-3.3849 -2.6662 2.4508
2.8317 -0.8013 3.9886
-2.4405 5.5548 3.1277
Ac Ta Ti O
1 2 1 8
Direct
0.0000 0.0000 0.5000 Ac
0.4654 0.4652 0.7724 Ta
0.5346 0.5348 0.2276 Ta
0.0000 0.0000 0.0000 Ti
0.1952 0.7698 0.2070 O
0.6969 0.6974 0.0052 O
0.7704 0.1957 0.2070 O
0.8048 0.2302 0.7930 O
0.3031 0.3026 0.9948 O
0.2296 0.8043 0.7930 O
0.6671 0.6681 0.4610 O
0.3329 0.3319 0.5390 O
```

## Properties
Formation energy (no corrections) (kJ/mol of atoms): -277.65
Final energy (Ry/atom): -0.673

***

[9]
# NdIn4Bi

A relaxed NdIn4Bi crystal (PBE-GGA, Alexandria via LeMat-Bulk).

POSCAR file:
```
NdIn4Bi
1.0
6.1786 0.0000 0.0000
3.0893 5.3508 0.0000
3.0893 1.7836 5.0448
Nd Bi In
1 1 4
Direct
0.0000 0.0000 0.0000 Nd
0.2500 0.2500 0.2500 Bi
0.6250 0.6250 0.1250 In
0.6250 0.1250 0.6250 In
0.6250 0.6250 0.6250 In
0.1250 0.6250 0.6250 In
```

## Properties
Final energy (Ry/atom): -0.251
Formation energy from the elements (meV/atom): -148

***

[10]
# LaSm2Sc

A relaxed LaSm2Sc crystal (PBE-GGA, Alexandria via LeMat-Bulk).

POSCAR file:
```
LaSm2Sc
1.0
-1.6217 2.2905 2.2099
-3.2099 -0.7921 1.3524
3.4717 -4.6373 10.2413
Sc Sm La
1 2 1
Direct
0.0000 0.0000 0.0000 Sc
0.7448 0.7448 0.7655 Sm
0.2552 0.2552 0.2345 Sm
0.5000 0.5000 0.5000 La
```

## Properties
Final energy (Ry/atom): -0.376
Formation energy from the elements (meV/atom): 56

***

[11]
# Cd2IrAu

A relaxed Cd2IrAu crystal (PBE-GGA, Alexandria via LeMat-Bulk).

POSCAR file:
```
Cd2IrAu
1.0
9.5205 -0.0261 -0.0153
9.0597 2.9260 -0.0153
9.0597 1.4140 2.5617
Ir Au Cd
1 1 2
Direct
0.2500 0.2500 0.2500 Ir
0.7500 0.7500 0.7500 Au
0.9970 0.9970 0.9970 Cd
0.5030 0.5030 0.5030 Cd
```

## Properties
Final energy (Ry/atom): -0.250
Formation energy from the elements (meV/atom): 90

***

[12]
# AlPbW3

A relaxed AlPbW3 crystal (PBE-GGA, Alexandria via LeMat-Bulk).

POSCAR file:
```
AlPbW3
1.0
-4.5173 0.3401 -0.9563
0.8819 -0.8447 -4.4660
-0.5026 -4.5395 0.7593
Pb Al W
1 1 3
Direct
0.5000 0.5000 0.5000 Pb
0.0000 0.0000 0.0000 Al
0.0000 0.5000 0.0000 W
0.0000 0.0000 0.5000 W
0.5000 0.0000 0.0000 W
```

## Properties
Final energy (Ry/atom): -0.544
Formation energy from the elements (meV/atom): 1858

***

[13]
# LiNi2Br

A relaxed LiNi2Br crystal (PBE-GGA, Alexandria via LeMat-Bulk).

POSCAR file:
```
LiNi2Br
1.0
7.9481 -0.0015 -0.0009
7.3788 2.9539 -0.0009
7.3788 1.4214 2.5895
Br Li Ni
1 1 2
Direct
0.2500 0.2500 0.2500 Br
0.7500 0.7500 0.7500 Li
0.9959 0.9959 0.9959 Ni
0.5041 0.5041 0.5041 Ni
```

## Properties
Formation energy (no corrections) (kJ/mol of atoms): 46.00
Final energy (Ry/atom): -0.243

***

[14]
# NdHgBiPb

A relaxed NdHgBiPb crystal (PBE-GGA, Alexandria via LeMat-Bulk).

POSCAR file:
```
NdHgBiPb
1.0
-3.9153 -0.4944 -2.5645
-1.9282 -2.7721 3.4782
-1.9516 4.1034 2.1885
Nd Hg Bi Pb
1 1 1 1
Direct
0.5000 0.0000 0.5000 Nd
0.5000 0.5000 0.0000 Hg
0.0000 0.5000 0.5000 Bi
0.0000 0.0000 0.0000 Pb
```

## Properties
Final energy (Ry/atom): -0.264
Formation energy from the elements (meV/atom): -432

***

[15]
# MoPRu

A relaxed MoPRu crystal (PBE-GGA, Alexandria via LeMat-Bulk).

POSCAR file:
```
MoPRu
1.0
-1.4294 1.9909 3.7229
1.4294 -1.9909 3.7229
1.4294 1.9909 -3.7229
Mo P Ru
1 1 1
Direct
0.9956 0.9956 0.0000 Mo
0.6649 0.6649 0.0000 P
0.3395 0.3395 0.0000 Ru
```

## Properties
Final energy (Ry/atom): -0.630
Formation energy from the elements (meV/atom): -65

***

[16]
# PrHo2Cd2

A relaxed PrHo2Cd2 crystal (PBE-GGA, Alexandria via LeMat-Bulk).

POSCAR file:
```
PrHo2Cd2
1.0
4.8609 0.5443 -0.1620
-0.5003 4.8656 -0.1620
-1.7197 -2.1334 6.5261
Pr Ho Cd
1 2 2
Direct
0.0000 0.0000 0.0000 Pr
0.2500 0.7500 0.5000 Ho
0.7500 0.2500 0.5000 Ho
0.6246 0.6246 0.2061 Cd
0.3754 0.3754 0.7939 Cd
```

## Properties
Final energy (Ry/atom): -0.236
Formation energy from the elements (meV/atom): -64

***

[17]
# SrLi2Si

A relaxed SrLi2Si crystal (PBE-GGA, Alexandria via LeMat-Bulk).

POSCAR file:
```
SrLi2Si
1.0
4.5306 -0.0094 0.0109
2.2703 3.9207 0.0109
2.2647 1.3024 4.9312
Sr Si Li
1 1 2
Direct
0.2500 0.2500 0.2500 Sr
0.7500 0.7500 0.7500 Si
0.0488 0.0488 0.8529 Li
0.4512 0.4512 0.6471 Li
```

## Properties
Formation energy (no corrections) (kJ/mol of atoms): -24.89
Final energy (Ry/atom): -0.220

***

[18]
# CaSc2Ru

A relaxed CaSc2Ru crystal (PBE-GGA, Alexandria via LeMat-Bulk).

POSCAR file:
```
CaSc2Ru
1.0
-4.4844 2.9628 -2.4021
-5.0375 -0.4169 -3.0180
-4.6621 0.2489 2.8209
Sc Ru Ca
2 1 1
Direct
0.9431 0.9431 0.0569 Sc
0.5569 0.5569 0.4431 Sc
0.2500 0.2500 0.2500 Ru
0.7500 0.7500 0.7500 Ca
```

## Properties
Final energy (Ry/atom): -0.451
Formation energy from the elements (meV/atom): -150

***

[19]
# Y3Lu

A relaxed Y3Lu crystal (PBE-GGA, Alexandria via LeMat-Bulk).

POSCAR file:
```
Y3Lu
1.0
7.2325 0.0000 0.0000
-3.6162 6.2635 0.0000
0.0000 0.0000 5.6250
Y Lu
6 2
Direct
0.1678 0.3356 0.2500 Y
0.6644 0.8322 0.2500 Y
0.1678 0.8322 0.2500 Y
0.8322 0.6644 0.7500 Y
0.3356 0.1678 0.7500 Y
0.8322 0.1678 0.7500 Y
0.3333 0.6667 0.7500 Lu
0.6667 0.3333 0.2500 Lu
```

## Properties
Final energy (Ry/atom): -0.439
Formation energy from the elements (meV/atom): 2

***

[20]
# LaTl3

A relaxed LaTl3 crystal (PBE-GGA, Alexandria via LeMat-Bulk).

POSCAR file:
```
LaTl3
1.0
-2.6141 -3.3478 4.5604
0.5277 -5.6875 -3.8727
14.9747 -2.9706 6.4030
La Tl
6 18
Direct
0.0405 0.2500 0.7500 La
0.6625 0.2500 0.4077 La
0.6625 0.2500 0.0923 La
0.9595 0.7500 0.2500 La
0.3375 0.7500 0.9077 La
0.3375 0.7500 0.5923 La
0.1674 0.9953 0.4171 Tl
0.1674 0.9953 0.0829 Tl
0.5264 0.0161 0.7500 Tl
0.4736 0.9839 0.2500 Tl
0.8326 0.0047 0.9171 Tl
0.8326 0.0047 0.5829 Tl
0.0287 0.2500 0.2500 Tl
0.3291 0.2500 0.9233 Tl
0.3291 0.2500 0.5767 Tl
0.1674 0.5047 0.4171 Tl
0.1674 0.5047 0.0829 Tl
0.5264 0.4839 0.7500 Tl
0.4736 0.5161 0.2500 Tl
0.8326 0.4953 0.9171 Tl
0.8326 0.4953 0.5829 Tl
0.9713 0.7500 0.7500 Tl
0.6709 0.7500 0.4233 Tl
0.6709 0.7500 0.0767 Tl
```

## Properties
Final energy (Ry/atom): -0.241
Formation energy from the elements (meV/atom): -275

***

[21]
# ErGaAu3

A relaxed ErGaAu3 crystal (PBE-GGA, Alexandria via LeMat-Bulk).

POSCAR file:
```
ErGaAu3
1.0
4.6998 0.0000 0.0000
0.0000 9.0640 0.0000
0.0000 0.0000 9.2791
Er Ga Au
4 4 12
Direct
0.7500 0.7647 0.9955 Er
0.2500 0.7353 0.4955 Er
0.7500 0.2647 0.5045 Er
0.2500 0.2353 0.0045 Er
0.2500 0.1180 0.6751 Ga
0.2500 0.6180 0.8249 Ga
0.7500 0.3820 0.1751 Ga
0.7500 0.8820 0.3249 Ga
0.2500 0.5696 0.0995 Au
0.7500 0.4304 0.9005 Au
0.2500 0.0696 0.4005 Au
0.7500 0.9304 0.5995 Au
0.2500 0.4023 0.6517 Au
0.7500 0.0977 0.1517 Au
0.2500 0.9023 0.8483 Au
0.7500 0.6147 0.6592 Au
0.2500 0.3853 0.3408 Au
0.7500 0.1147 0.8408 Au
0.7500 0.5977 0.3483 Au
0.2500 0.8853 0.1592 Au
```

## Properties
Final energy (Ry/atom): -0.299
Formation energy from the elements (meV/atom): -586

***

[22]
# ScInCu2

A relaxed ScInCu2 crystal (PBE-GGA, Alexandria via LeMat-Bulk).

POSCAR file:
```
ScInCu2
1.0
-3.7751 1.4396 -3.3401
-1.1191 0.1199 -5.1199
-2.7196 -3.3443 -1.5787
Cu In Sc
2 1 1
Direct
0.0232 0.0232 0.9757 Cu
0.7352 0.7352 0.7662 Cu
0.4818 0.4818 0.5166 In
0.2598 0.2598 0.2415 Sc
```

## Properties
Final energy (Ry/atom): -0.326
Formation energy from the elements (meV/atom): -124

***

[23]
# Nd6Cd5Pb

A relaxed Nd6Cd5Pb crystal (PBE-GGA, Alexandria via LeMat-Bulk).

POSCAR file:
```
Nd6Cd5Pb
1.0
5.1763 -0.0309 1.7251
0.0417 7.7612 0.0139
-0.0145 -0.0154 8.6722
Pb Nd Cd
1 6 5
Direct
0.0000 0.0000 0.0000 Pb
0.8330 0.7458 0.3340 Nd
0.8330 0.2542 0.3340 Nd
0.5000 0.2504 0.0000 Nd
0.5000 0.7496 0.0000 Nd
0.1670 0.7458 0.6660 Nd
0.1670 0.2542 0.6660 Nd
0.6665 0.5000 0.6671 Cd
0.3263 0.0000 0.3473 Cd
0.0000 0.5000 0.0000 Cd
0.6737 0.0000 0.6527 Cd
0.3335 0.5000 0.3329 Cd
```

## Properties
Final energy (Ry/atom): -0.252
Formation energy from the elements (meV/atom): -356

***

[24]
# Ho2PuCd6

A relaxed Ho2PuCd6 crystal (PBE-GGA, Alexandria via LeMat-Bulk).

POSCAR file:
```
Ho2PuCd6
1.0
3.2930 -0.0005 0.0003
-0.0006 7.5829 4.3606
-0.0021 0.0154 8.7473
Ho Pu Cd
2 1 6
Direct
0.0000 0.3333 0.3333 Ho
0.0000 0.6667 0.6667 Ho
0.0000 0.0000 0.0000 Pu
0.4989 0.6644 0.0000 Cd
0.5011 0.0000 0.3356 Cd
0.5011 0.3356 0.0000 Cd
0.5000 0.6644 0.3356 Cd
0.4989 0.0000 0.6644 Cd
0.5000 0.3356 0.6644 Cd
```

## Properties
Final energy (Ry/atom): -0.253
Formation energy from the elements (meV/atom): -227